1.
Crystalline Na3HfMg2S6 at its relaxed geometry. Source: the Alexandria database, functional GGA-PBE.

Lattice parameters (Å, degrees): 6.4701 6.4701 7.0388 98.82 98.82 120.01
Fractional positions:
Na 0.8319 0.1681 0.5000
Na 0.5000 0.5000 0.5000
Na 0.1681 0.8319 0.5000
S 0.2539 0.2539 0.7840
S 0.6017 0.9279 0.7834
S 0.0721 0.3983 0.2166
S 0.3983 0.0721 0.2166
S 0.9279 0.6017 0.7834
S 0.7461 0.7461 0.2160
Mg 0.6667 0.3333 0.0000
Mg 0.3333 0.6667 0.0000
Hf 0.0000 0.0000 0.0000

Values from the calculation:
Symmetry: C2/m (12)
ΔE_f (raw) in eV/atom: -1.30
Total moment in μB per cell: 0.00
Total energy in eV per atom: -4.786

2.
Crystalline Na2HfMgS4 at its relaxed geometry. Source: the Alexandria database, functional GGA-PBE.

Lattice parameters (Å, degrees): 3.7566 6.5211 6.9651 108.07 90.00 90.00
Fractional positions:
S 0.0000 0.2692 0.7825
S 0.5000 0.7547 0.7877
S 0.5000 0.2453 0.2123
S 0.0000 0.7308 0.2175
Mg 0.0000 0.0000 0.0000
Na 0.5000 0.0000 0.5000
Na 0.0000 0.5000 0.5000
Hf 0.5000 0.5000 0.0000

Values from the calculation:
Symmetry: P2/m (10)
ΔE_f (raw) in eV/atom: -1.46
Total moment in μB per cell: 0.00
Total energy in eV per atom: -5.293

3.
Crystalline Na3HfMg2Se6 at its relaxed geometry. Source: the Alexandria database, functional GGA-PBE.

Lattice parameters (Å, degrees): 6.7693 6.7693 7.4202 98.76 98.76 120.03
Fractional positions:
Se 0.7466 0.7466 0.2180
Se 0.0726 0.3991 0.2185
Se 0.9274 0.6009 0.7815
Se 0.6009 0.9274 0.7815
Se 0.3991 0.0726 0.2185
Se 0.2534 0.2534 0.7820
Na 0.8324 0.1676 0.5000
Na 0.1676 0.8324 0.5000
Na 0.5000 0.5000 0.5000
Mg 0.6664 0.3336 0.0000
Mg 0.3336 0.6664 0.0000
Hf 0.0000 0.0000 0.0000

Values from the calculation:
Symmetry: C2/m (12)
ΔE_f (raw) in eV/atom: -1.17
Total moment in μB per cell: 0.00
Total energy in eV per atom: -4.339

4.
Crystalline Na4Hf3MgSe8 at its relaxed geometry. Source: the Alexandria database, functional GGA-PBE.

Lattice parameters (Å, degrees): 7.7546 8.3544 7.7558 117.67 119.99 90.00
Fractional positions:
Se 0.7592 0.2810 0.0214
Se 0.2623 0.2810 0.0214
Se 0.7581 0.2798 0.5161
Se 0.7410 0.7223 0.4821
Se 0.2419 0.7202 0.4839
Se 0.2408 0.7190 0.9786
Se 0.7377 0.7190 0.9786
Se 0.2590 0.2777 0.5179
Hf 0.0000 0.5000 0.5000
Hf 0.5000 0.5000 0.5000
Hf 0.5000 0.5000 0.0000
Na 0.5000 0.0000 0.5000
Na 0.5000 0.0000 0.0000
Na 0.0000 0.0000 0.0000
Na 0.0000 0.0000 0.5000
Mg 0.0000 0.5000 0.0000

Values from the calculation:
Symmetry: C2/m (12)
ΔE_f (raw) in eV/atom: -1.27
Total moment in μB per cell: 0.00
Total energy in eV per atom: -5.312

5.
Crystalline NaHfMg2Sn at its relaxed geometry. Source: the Alexandria database, functional GGA-PBE.

Lattice parameters (Å, degrees): 5.7325 5.5170 5.7325 90.00 90.00 90.00
Last column: magnetic moment on the atom in μB.
Fractional positions:
Sn 0.0000 0.5000 0.0000  0.03
Hf 0.0000 0.0000 0.0000  0.28
Mg 0.0000 0.0000 0.5000  0.01
Mg 0.5000 0.0000 0.0000  0.02
Na 0.5000 0.5000 0.5000  0.00

Values from the calculation:
Symmetry: P4/mmm (123)
Total moment in μB per cell: 0.57
Total energy in eV per atom: -3.091

6.
Crystalline Na2HfMgV at its relaxed geometry. Source: the Alexandria database, functional GGA-PBE.

Lattice parameters (Å, degrees): 5.4464 4.8184 5.4464 90.00 90.00 90.00
Last column: magnetic moment on the atom in μB.
Fractional positions:
Mg 0.5000 0.5000 0.5000  -0.01
Na 0.0000 0.0000 0.5000  0.02
Na 0.5000 0.0000 0.0000  0.03
V 0.0000 0.0000 0.0000  1.78
Hf 0.0000 0.5000 0.0000  -0.03

Values from the calculation:
Symmetry: P4/mmm (123)
Total moment in μB per cell: 2.12
Total energy in eV per atom: -3.521

7.
Crystalline NaHfMgW2 at its relaxed geometry. Source: the Alexandria database, functional GGA-PBE.

Lattice parameters (Å, degrees): 4.7308 5.0204 4.7308 90.00 90.00 90.00
Fractional positions:
W 0.0000 0.0000 0.5000
W 0.5000 0.0000 0.0000
Na 0.5000 0.5000 0.5000
Hf 0.0000 0.5000 0.0000
Mg 0.0000 0.0000 0.0000

Values from the calculation:
Symmetry: P4/mmm (123)
Total moment in μB per cell: 0.00
Total energy in eV per atom: -5.553

8.
Crystalline HfMg6Nb at its relaxed geometry. Source: the Alexandria database, functional GGA-PBE.

Lattice parameters (Å, degrees): 6.4262 6.4262 5.0791 90.00 90.00 125.23
Last column: magnetic moment on the atom in μB.
Fractional positions:
Mg 0.6711 0.8367 0.0000  0.00
Mg 0.8257 0.6737 0.5000  0.00
Mg 0.6842 0.3158 0.0000  0.00
Mg 0.1633 0.3289 0.0000  0.00
Mg 0.3263 0.1743 0.5000  0.00
Mg 0.1743 0.8257 0.0000  0.00
Hf 0.3260 0.6740 0.5000  0.08
Nb 0.8291 0.1709 0.5000  0.54

Values from the calculation:
Symmetry: Amm2 (38)
Total moment in μB per cell: 0.83
Total energy in eV per atom: -3.494
Energy above the lowest structure with this stoichiometry in eV per atom: 0.0629

9.
Crystalline Hf2MgNb at its relaxed geometry. Source: the Alexandria database, functional GGA-PBE.

Lattice parameters (Å, degrees): 4.1504 4.1504 10.5624 78.67 78.67 90.00
Fractional positions:
Nb 0.7500 0.2500 0.5000
Nb 0.0000 0.0000 0.0000
Mg 0.2500 0.7500 0.5000
Mg 0.5000 0.5000 0.0000
Hf 0.6360 0.1250 0.2500
Hf 0.8750 0.8860 0.7500
Hf 0.1140 0.6250 0.2500
Hf 0.3750 0.3640 0.7500

Values from the calculation:
Symmetry: I-42d (122)
Total moment in μB per cell: 0.00
Total energy in eV per atom: -7.267

10.
Crystalline Hf2MgNb at its relaxed geometry. Source: the Alexandria database, functional GGA-PBE.

Lattice parameters (Å, degrees): 4.2455 4.4025 4.4025 90.00 90.00 90.00
Fractional positions:
Hf 0.0000 0.5000 0.0000
Hf 0.0000 0.0000 0.5000
Mg 0.5000 0.5000 0.5000
Nb 0.5000 0.0000 0.0000

Values from the calculation:
Symmetry: P4/mmm (123)
Total moment in μB per cell: 0.00
Total energy in eV per atom: -7.778

11.
Crystalline Hf4Mg2Nb at its relaxed geometry. Source: the Alexandria database, functional GGA-PBE.

Lattice parameters (Å, degrees): 3.1123 3.1021 16.4236 90.00 95.44 90.00
Fractional positions:
Mg 0.2072 0.5000 0.4144
Mg 0.7928 0.5000 0.5856
Hf 0.0658 0.5000 0.1316
Hf 0.9342 0.5000 0.8684
Hf 0.6321 0.0000 0.2642
Hf 0.3679 0.0000 0.7358
Nb 0.5000 0.0000 0.0000

Values from the calculation:
Symmetry: Cmmm (65)
Total moment in μB per cell: 0.00
Total energy in eV per atom: -7.480

12.
Crystalline Hf2MgNb at its relaxed geometry. Source: the Alexandria database, functional GGA-PBE.

Lattice parameters (Å, degrees): 3.4776 3.4776 6.9988 90.00 90.00 90.00
Fractional positions:
Hf 0.0000 0.0000 0.7746
Hf 0.0000 0.0000 0.2254
Nb 0.5000 0.5000 0.0000
Mg 0.5000 0.5000 0.5000

Values from the calculation:
Symmetry: P4/mmm (123)
Total moment in μB per cell: 0.00
Total energy in eV per atom: -7.826

13.
Crystalline HfMgNb2 at its relaxed geometry. Source: the Alexandria database, functional GGA-PBE.

Lattice parameters (Å, degrees): 7.6073 7.6073 6.0769 51.25 51.25 90.00
Fractional positions:
Mg 0.2500 0.7500 0.5000
Mg 0.5000 0.5000 0.0000
Hf 0.0000 0.0000 0.0000
Hf 0.7500 0.2500 0.5000
Nb 0.8750 0.8648 0.7500
Nb 0.1352 0.6250 0.2500
Nb 0.6148 0.1250 0.2500
Nb 0.3750 0.3852 0.7500

Values from the calculation:
Symmetry: I-42d (122)
Total moment in μB per cell: 0.00
Total energy in eV per atom: -7.232

14.
Crystalline Hf2MgNb at its relaxed geometry. Source: the Alexandria database, functional GGA-PBE.

Lattice parameters (Å, degrees): 3.1599 3.1599 10.1929 81.08 81.08 60.00
Fractional positions:
Hf 0.7450 0.7450 0.7650
Hf 0.2550 0.2550 0.2350
Mg 0.5000 0.5000 0.5000
Nb 0.0000 0.0000 0.0000

Values from the calculation:
Symmetry: R-3m (166)
Total moment in μB per cell: 0.00
Total energy in eV per atom: -7.744

15.
Crystalline HfMg14Nb at its relaxed geometry. Source: the Alexandria database, functional GGA-PBE.

Lattice parameters (Å, degrees): 6.3649 6.3649 10.0252 90.00 90.00 120.00
Fractional positions:
Mg 0.1609 0.8391 0.2453
Mg 0.6782 0.8391 0.2453
Mg 0.0063 0.5032 0.5000
Mg 0.1609 0.3218 0.2453
Mg 0.0001 0.5001 0.0000
Mg 0.1609 0.8391 0.7547
Mg 0.4999 0.9999 0.0000
Mg 0.1609 0.3218 0.7547
Mg 0.4999 0.5001 0.0000
Mg 0.4968 0.9937 0.5000
Mg 0.6782 0.8391 0.7547
Mg 0.6667 0.3333 0.7449
Mg 0.4968 0.5032 0.5000
Mg 0.6667 0.3333 0.2551
Hf 0.0000 0.0000 0.5000
Nb 0.0000 0.0000 0.0000

Values from the calculation:
Symmetry: P-6m2 (187)
Total moment in μB per cell: 0.00
Total energy in eV per atom: -2.524
Energy above the lowest structure with this stoichiometry in eV per atom: 0.0358

16.
Crystalline Hf2MgNb at its relaxed geometry. Source: the Alexandria database, functional GGA-PBE.

Lattice parameters (Å, degrees): 3.1420 3.1420 10.3122 81.24 81.24 60.00
Fractional positions:
Hf 0.0781 0.0781 0.7657
Hf 0.2551 0.2551 0.2347
Mg 0.5001 0.5001 0.4996
Nb 0.6667 0.6667 0.0000

Values from the calculation:
Symmetry: R3m (160)
Total moment in μB per cell: 0.00
Total energy in eV per atom: -7.720

17.
Crystalline HfMg14Nb at its relaxed geometry. Source: the Alexandria database, functional GGA-PBE.

Lattice parameters (Å, degrees): 6.3965 6.3965 10.2617 90.00 90.00 122.86
Fractional positions:
Mg 0.1716 0.8284 0.2500
Mg 0.3264 0.1704 0.5000
Mg 0.1716 0.8284 0.7500
Mg 0.6695 0.8354 0.7439
Mg 0.3318 0.1702 0.0000
Mg 0.1646 0.3305 0.2561
Mg 0.6753 0.3247 0.7420
Mg 0.1646 0.3305 0.7439
Mg 0.8298 0.6682 0.0000
Mg 0.8296 0.6736 0.5000
Mg 0.6753 0.3247 0.2580
Mg 0.6695 0.8354 0.2561
Mg 0.3322 0.6678 0.0000
Mg 0.8308 0.1692 0.0000
Hf 0.3276 0.6724 0.5000
Nb 0.8300 0.1700 0.5000

Values from the calculation:
Symmetry: Amm2 (38)
Total moment in μB per cell: 0.00
Total energy in eV per atom: -2.560
Energy above the lowest structure with this stoichiometry in eV per atom: 0.0000

18.
Crystalline HfMg6Nb at its relaxed geometry. Source: the Alexandria database, functional GGA-PBE.

Lattice parameters (Å, degrees): 6.4289 6.4289 4.9509 90.00 90.00 122.73
Fractional positions:
Nb 0.1967 0.8033 0.0000
Mg 0.3146 0.1699 0.5000
Mg 0.6731 0.3269 0.0000
Mg 0.8301 0.6854 0.5000
Mg 0.6719 0.8173 0.0000
Mg 0.1827 0.3281 0.0000
Mg 0.8284 0.1716 0.5000
Hf 0.3024 0.6976 0.5000

Values from the calculation:
Symmetry: Amm2 (38)
Total moment in μB per cell: 0.00
Total energy in eV per atom: -3.557
Energy above the lowest structure with this stoichiometry in eV per atom: 0.0000

19.
Crystalline HfMgNb2Os at its relaxed geometry. Source: the Alexandria database, functional GGA-PBE.

Lattice parameters (Å, degrees): 4.9392 4.8266 4.9392 90.00 90.00 90.00
Fractional positions:
Mg 0.5000 0.5000 0.5000
Nb 0.5000 0.0000 0.0000
Nb 0.0000 0.0000 0.5000
Os 0.0000 0.5000 0.0000
Hf 0.0000 0.0000 0.0000

Values from the calculation:
Symmetry: P4/mmm (123)
Total moment in μB per cell: 0.00
Total energy in eV per atom: -7.064

20.
Crystalline HfMgNbPd2 at its relaxed geometry. Source: the Alexandria database, functional GGA-PBE.

Lattice parameters (Å, degrees): 4.4806 4.9060 4.4806 90.00 90.00 90.00
Last column: magnetic moment on the atom in μB.
Fractional positions:
Pd 0.5000 0.0000 0.0000  0.05
Pd 0.0000 0.0000 0.5000  0.04
Nb 0.0000 0.5000 0.0000  0.89
Mg 0.0000 0.0000 0.0000  0.03
Hf 0.5000 0.5000 0.5000  0.11

Values from the calculation:
Symmetry: P4/mmm (123)
Total moment in μB per cell: 1.37
Total energy in eV per atom: -5.714